1.
VASP calculation (PBE) on crystalline AlReF2 at its relaxed geometry.

## Properties
**Formation energy without anion corrections**: 0.524 eV/f.u.
**V**: 50.6 Å³ per cell
**Density of states at the Fermi level**: 5.5 states/eV/f.u.

Cell: 4.152 4.152 4.152 Å, 60.00 60.00 60.00°
Positions (direct):
Al 0.000 0.000 0.000
Re 0.500 0.500 0.500
F 0.250 0.250 0.250
F 0.750 0.750 0.750

2.
VASP calculation (PBE) on crystalline Al3ReF at its relaxed geometry.

## Properties
**Formation energy without anion corrections**: 0.518 eV/f.u.
**V**: 109.2 Å³ per cell
**Density of states at the Fermi level**: 2.0 states/eV/f.u.

Cell: 4.779 4.779 4.779 Å, 90.00 90.00 90.00°
Positions (direct):
Al 0.000 0.000 0.500
Al 0.000 0.500 0.000
Al 0.500 0.000 0.000
Re 0.000 0.000 0.000
F 0.500 0.500 0.500

3.
VASP calculation (PBE) on crystalline Al3ReF at its relaxed geometry.

## Properties
**Formation energy without anion corrections**: -0.681 eV/f.u.
**V**: 69.8 Å³ per cell
**Density of states at the Fermi level**: 2.5 states/eV/f.u.

Cell: 4.118 4.118 4.118 Å, 90.00 90.00 90.00°
Positions (direct):
Al 0.000 0.000 0.500
Al 0.000 0.500 0.000
Al 0.500 0.000 0.000
Re 0.500 0.500 0.500
F 0.000 0.000 0.000